Ho6In2Ru | PBE-GGA | optimized geometry

Lattice parameters (Å, degrees): 3.8198 8.5843 8.5843 119.93 90.00 90.00
Closest atoms and distances in Å follow each position.
Atoms (fractional coordinates):
Ho: 0.0000 0.0000 0.0000  2 Ru 2.82
Ho: 0.0000 0.5146 0.7559  2 Ru 2.83
Ho: 0.0000 0.7559 0.5146  2 Ru 2.83
Ho: 0.5000 0.1447 0.7563  4 In 3.27, 1 Ru 3.32, 4 Ho 3.49
Ho: 0.5000 0.3669 0.3669  4 In 3.27, 1 Ru 3.37, 4 Ho 3.49
Ho: 0.5000 0.7563 0.1447  4 In 3.27, 1 Ru 3.32, 4 Ho 3.49
In: 0.0000 0.0894 0.4234  9 Ho 3.27-3.33
In: 0.0000 0.4234 0.0894  9 Ho 3.27-3.33
Ru: 0.5000 0.7588 0.7588  6 Ho 2.82-2.83

Summary:
Its crystal system is orthorhombic. For the formation energy, the calculation gives -363 meV/atom. Its density is 8.99 g cm⁻³.